1.
## BeCo2W (meta-GGA SCAN)

Data for a PBEsol-optimized structure of BeCo2W.

It has space group P4/mmm (No. 123), with a = 2.647 Å, b = 2.647 Å, c = 6.073 Å, α = 90.00°, β = 90.00° and γ = 90.00°. Symmetry generates all atoms from Be at (0.000, 0.000, 0.000), Co at (0.500, 0.500, 0.209) and W at (0.000, 0.000, 0.500).

The raw total energy comes out at -27.2391 eV per atom. As for the density of states at the Fermi level: 2.467 states/eV/f.u. For the total magnetic moment, the calculation gives 0.000 μB per cell. For the formation energy, the calculation gives -0.077 eV/atom.

2.
## YBeCo (meta-GGA SCAN)

Data for a PBEsol-optimized structure of YBeCo.

It has space group F-43m (No. 216), with a = 6.091 Å, b = 6.091 Å, c = 6.091 Å, α = 90.00°, β = 90.00° and γ = 90.00°. Symmetry generates all atoms from Y at (0.000, 0.000, 0.000), Be at (0.250, 0.250, 0.250) and Co at (0.250, 0.250, 0.750).

The raw total energy comes out at -15.4698 eV per atom. As for the density of states at the Fermi level: 2.143 states/eV/f.u. The excess energy over the best structure of this formula in the dataset is 1095 meV/atom. For the total magnetic moment, the calculation gives 1.986 μB per cell. For the formation energy, the calculation gives 1.030 eV/atom.

3.
## YBeCo (meta-GGA SCAN)

Data for a PBEsol-optimized structure of YBeCo.

It has space group P-6m2 (No. 187), with a = 3.7562 Å, b = 3.7562 Å, c = 3.8279 Å, α = 90.00°, β = 90.00° and γ = 120.00°. Symmetry generates all atoms from Y at (0.0000, 0.0000, 0.0000), Be at (0.3333, 0.6667, 0.5000) and Co at (0.6667, 0.3333, 0.5000).

The raw total energy comes out at -16.5651 eV per atom. As for the density of states at the Fermi level: 1.946 states/eV/f.u. The excess energy over the best structure of this formula in the dataset is 0 meV/atom. For the total magnetic moment, the calculation gives 0.038 μB per cell. For the formation energy, the calculation gives -0.065 eV/atom.

4.
## Be2ZnCo (meta-GGA SCAN)

Data for a PBEsol-optimized structure of Be2ZnCo.

It has space group Imm2 (No. 44), with a = 2.748 Å, b = 3.634 Å, c = 7.582 Å, α = 90.00°, β = 90.00° and γ = 90.00°. Symmetry generates all atoms from Be at (0.000, 0.000, 0.000), Be at (0.000, 0.500, 0.257), Zn at (0.000, 0.000, 0.500) and Co at (0.000, 0.500, 0.735).

The raw total energy comes out at -10.0234 eV per atom. As for the density of states at the Fermi level: 0.965 states/eV/f.u. For the total magnetic moment, the calculation gives 0.000 μB per cell. For the formation energy, the calculation gives -0.142 eV/atom.